Record 1
A plane-wave DFT calculation with PBE with a Hubbard U was carried out for a relaxed PmCoF5 crystal.

Crystal system: monoclinic
E_tot (eV per atom): -5.97
Space-group type: C2/c, No. 15

Unit cell a=5.739 b=5.739 c=7.796 alpha=70.35 beta=70.35 gamma=72.58
Element x y z (fractional)
Pm  0.555  0.445  0.750
Pm  0.445  0.555  0.250
Co  0.000  0.000  0.000
Co  0.000  0.000  0.500
F  0.214  0.258  0.378
F  0.786  0.742  0.622
F  0.102  0.898  0.250
F  0.319  0.699  0.533
F  0.898  0.102  0.750
F  0.301  0.681  0.967
F  0.681  0.301  0.467
F  0.258  0.214  0.878
F  0.742  0.786  0.122
F  0.699  0.319  0.033

***

Record 2
A plane-wave DFT calculation with PBE with a Hubbard U was carried out for a relaxed RbPmCo2F8 crystal.

Crystal system: trigonal
E_tot (eV per atom): -5.39
Space-group type: R-3, No. 148

Unit cell a=6.407 b=6.407 c=6.770 alpha=61.76 beta=61.76 gamma=60.00
Element x y z (fractional)
F  0.583  0.266  0.155
F  0.734  0.004  0.845
F  0.860  0.860  0.420
F  0.004  0.417  0.845
F  0.140  0.140  0.580
F  0.266  0.996  0.155
F  0.996  0.583  0.155
F  0.417  0.734  0.845
Pm  0.000  0.000  0.000
Rb  0.500  0.500  0.500
Co  0.747  0.747  0.760
Co  0.253  0.253  0.240

***

Record 3
A plane-wave DFT calculation with PBE with a Hubbard U was carried out for a relaxed Rb2PmCoF6 crystal.

Crystal system: orthorhombic
E_tot (eV per atom): -5.18
Space-group type: Immm, No. 71

Unit cell a=6.357 b=6.373 c=9.028 alpha=90.00 beta=90.00 gamma=90.00
Element x y z (fractional)
Rb  0.500  0.750  0.751
Rb  0.000  0.250  0.749
Rb  0.000  0.250  0.251
Rb  0.500  0.750  0.249
F  0.250  0.501  0.000
F  0.249  0.000  0.000
F  0.750  0.501  0.000
F  0.500  0.250  0.750
F  0.251  0.000  0.500
F  0.250  0.499  0.500
F  0.000  0.750  0.250
F  0.750  0.499  0.500
F  0.751  0.000  0.000
F  0.500  0.250  0.250
F  0.749  0.000  0.500
F  0.000  0.750  0.750
Co  0.000  0.750  0.000
Co  0.500  0.250  0.500
Pm  0.000  0.750  0.500
Pm  0.500  0.250  0.000

***

Record 4
A plane-wave DFT calculation with PBE with a Hubbard U was carried out for a relaxed Rb2PmCo3F12 crystal.

Crystal system: trigonal
E_tot (eV per atom): -5.14
Space-group type: R-3m, No. 166

Unit cell a=7.238 b=7.238 c=7.238 alpha=63.30 beta=63.30 gamma=63.30
Element x y z (fractional)
F  0.280  0.903  0.280
F  0.720  0.720  0.097
F  0.618  0.115  0.115
F  0.885  0.382  0.885
F  0.382  0.885  0.885
F  0.115  0.115  0.618
F  0.097  0.720  0.720
F  0.280  0.280  0.903
F  0.720  0.097  0.720
F  0.115  0.618  0.115
F  0.903  0.280  0.280
F  0.885  0.885  0.382
Rb  0.386  0.386  0.386
Rb  0.614  0.614  0.614
Co  0.000  0.500  0.000
Co  0.500  0.000  0.000
Co  0.000  0.000  0.500
Pm  0.000  0.000  0.000

***

Record 5
A plane-wave DFT calculation with PBE with a Hubbard U was carried out for a relaxed Pr3Co5F12 crystal.

Crystal system: cubic
E_tot (eV per atom): -5.32
Space-group type: Ia-3d, No. 230

Unit cell a=11.692 b=11.692 c=11.692 alpha=109.47 beta=109.47 gamma=109.47
Element x y z (fractional)
Pr  0.875  0.125  0.250
Pr  0.375  0.625  0.250
Pr  0.125  0.875  0.750
Pr  0.750  0.375  0.125
Pr  0.750  0.875  0.625
Pr  0.250  0.125  0.375
Pr  0.625  0.250  0.375
Pr  0.875  0.750  0.125
Pr  0.125  0.250  0.875
Pr  0.250  0.625  0.875
Pr  0.625  0.375  0.750
Pr  0.375  0.750  0.625
F  0.917  0.083  0.640
F  0.723  0.140  0.057
F  0.834  0.917  0.057
F  0.417  0.140  0.583
F  0.777  0.443  0.360
F  0.917  0.834  0.777
F  0.057  0.640  0.723
F  0.083  0.166  0.443
F  0.443  0.777  0.860
F  0.417  0.277  0.334
F  0.334  0.777  0.417
F  0.777  0.334  0.917
F  0.640  0.057  0.223
F  0.860  0.583  0.917
F  0.166  0.083  0.723
F  0.360  0.417  0.083
F  0.083  0.917  0.360
F  0.943  0.360  0.277
F  0.083  0.917  0.140
F  0.917  0.834  0.557
F  0.583  0.860  0.417
F  0.443  0.666  0.083
F  0.140  0.417  0.083
F  0.557  0.334  0.917
F  0.583  0.723  0.666
F  0.083  0.166  0.223
F  0.917  0.083  0.860
F  0.666  0.443  0.583
F  0.166  0.083  0.943
F  0.834  0.917  0.277
F  0.943  0.583  0.166
F  0.417  0.360  0.583
F  0.860  0.277  0.443
F  0.223  0.666  0.083
F  0.583  0.640  0.417
F  0.277  0.860  0.943
F  0.223  0.557  0.640
F  0.057  0.417  0.834
F  0.640  0.583  0.917
F  0.583  0.943  0.666
F  0.417  0.057  0.334
F  0.723  0.583  0.166
F  0.557  0.223  0.140
F  0.334  0.557  0.417
F  0.140  0.723  0.557
F  0.360  0.943  0.777
F  0.666  0.223  0.583
F  0.277  0.417  0.834
Co  0.000  0.500  0.000
Co  0.125  0.750  0.375
Co  0.500  0.500  0.500
Co  0.250  0.875  0.125
Co  0.500  0.000  0.000
Co  0.250  0.375  0.625
Co  0.125  0.375  0.250
Co  0.375  0.250  0.125
Co  0.625  0.875  0.250
Co  0.875  0.625  0.750
Co  0.375  0.125  0.750
Co  0.750  0.625  0.375
Co  0.750  0.125  0.875
Co  0.000  0.000  0.500
Co  0.000  0.000  0.000
Co  0.500  0.500  0.000
Co  0.500  0.000  0.500
Co  0.000  0.500  0.500
Co  0.875  0.250  0.625
Co  0.625  0.750  0.875

***

Record 6
A plane-wave DFT calculation with PBE with a Hubbard U was carried out for a relaxed PrCoF5 crystal.

Crystal system: monoclinic
E_tot (eV per atom): -5.96
Space-group type: C2/c, No. 15

Unit cell a=5.795 b=5.795 c=7.917 alpha=70.11 beta=70.11 gamma=72.24
Element x y z (fractional)
F  0.748  0.785  0.619
F  0.300  0.684  0.468
F  0.903  0.097  0.250
F  0.215  0.252  0.881
F  0.316  0.700  0.032
F  0.097  0.903  0.750
F  0.700  0.316  0.532
F  0.252  0.215  0.381
F  0.785  0.748  0.119
F  0.684  0.300  0.968
Pr  0.556  0.444  0.250
Pr  0.444  0.556  0.750
Co  0.000  0.000  0.000
Co  0.000  0.000  0.500

***

Record 7
A plane-wave DFT calculation with PBE with a Hubbard U was carried out for a relaxed PrCo2F8 crystal.

Crystal system: tetragonal
E_tot (eV per atom): -5.35
Space-group type: I422, No. 97

Unit cell a=6.025 b=6.025 c=6.833 alpha=116.16 beta=116.16 gamma=90.00
Element x y z (fractional)
F  0.485  0.675  0.741
F  0.066  0.485  0.741
F  0.325  0.515  0.259
F  0.744  0.325  0.259
F  0.675  0.256  0.741
F  0.934  0.744  0.259
F  0.515  0.934  0.259
F  0.256  0.066  0.741
Co  0.250  0.750  0.500
Co  0.750  0.250  0.500
Pr  0.500  0.500  0.000

***

Record 8
A plane-wave DFT calculation with PBE with a Hubbard U was carried out for a relaxed RbPrCoF6 crystal.

Crystal system: orthorhombic
E_tot (eV per atom): -5.57
Space-group type: Imma, No. 74

Unit cell a=7.907 b=7.474 c=7.524 alpha=119.78 beta=121.70 gamma=90.00
Element x y z (fractional)
Co  0.500  0.500  0.000
Co  0.500  0.000  0.000
F  0.554  0.389  0.734
F  0.595  0.845  0.190
F  0.554  0.845  0.734
F  0.872  0.122  0.744
F  0.821  0.155  0.266
F  0.821  0.611  0.266
F  0.405  0.155  0.810
F  0.179  0.389  0.734
F  0.446  0.155  0.266
F  0.128  0.878  0.256
F  0.179  0.845  0.734
F  0.446  0.611  0.266
Pr  0.000  0.000  0.500
Pr  0.500  0.000  0.500
Rb  0.163  0.413  0.327
Rb  0.837  0.587  0.673

***

Record 9
A plane-wave DFT calculation with PBE with a Hubbard U was carried out for a relaxed CoPtF3 crystal.

Crystal system: cubic
E_tot (eV per atom): -4.01
Space-group type: Pm-3m, No. 221
ΔE to the lowest computed polymorph (eV per formula unit): 0.00

Unit cell a=4.030 b=4.030 c=4.030 alpha=90.00 beta=90.00 gamma=90.00
Element x y z (fractional)
F  0.500  0.000  0.000
F  0.000  0.000  0.500
F  0.000  0.500  0.000
Pt  0.500  0.500  0.500
Co  0.000  0.000  0.000

***

Record 10
A plane-wave DFT calculation with PBE with a Hubbard U was carried out for a relaxed CoPt2F crystal.

Crystal system: cubic
E_tot (eV per atom): -4.56
Space-group type: Fm-3m, No. 225
ΔE to the lowest computed polymorph (eV per formula unit): 0.00

Unit cell a=4.237 b=4.237 c=4.237 alpha=60.00 beta=60.00 gamma=60.00
Element x y z (fractional)
Pt  0.750  0.750  0.750
Pt  0.250  0.250  0.250
Co  0.500  0.500  0.500
F  0.000  0.000  0.000

***

Record 11
A plane-wave DFT calculation with PBE with a Hubbard U was carried out for a relaxed CoPt2F crystal.

Crystal system: tetragonal
E_tot (eV per atom): -4.54
Space-group type: I-42d, No. 122
ΔE to the lowest computed polymorph (eV per formula unit): 0.10

Unit cell a=6.711 b=6.711 c=5.433 alpha=51.86 beta=51.86 gamma=90.00
Element x y z (fractional)
Pt  0.614  0.125  0.250
Pt  0.136  0.625  0.250
Pt  0.875  0.864  0.750
Pt  0.375  0.386  0.750
Co  0.000  0.000  0.000
Co  0.750  0.250  0.500
F  0.250  0.750  0.500
F  0.500  0.500  0.000

***

Record 12
A plane-wave DFT calculation with PBE with a Hubbard U was carried out for a relaxed Co3PtF crystal.

Crystal system: cubic
E_tot (eV per atom): -3.87
Space-group type: Pm-3m, No. 221
ΔE to the lowest computed polymorph (eV per formula unit): 2.88

Unit cell a=4.814 b=4.814 c=4.814 alpha=90.00 beta=90.00 gamma=90.00
Element x y z (fractional)
Co  0.000  0.500  0.000
Co  0.000  0.000  0.500
Co  0.500  0.000  0.000
Pt  0.000  0.000  0.000
F  0.500  0.500  0.500

***

> What is the E_tot in the third record?

-5.18 eV per atom

***

> What is the E_tot in the third record?

-5.18 eV per atom

***

> Which value of E_tot does entry 6 give?

-5.96 eV per atom

***

> What is the formula in the eleventh record?

CoPt2F